[1]
! PuMnRu (GGA-PBE, optimized geometry); values from VASP
! - Energy above the most stable polymorph in this dataset: 178 meV/atom
! - SG: No. 156
&SYSTEM
  ibrav = 0, nat = 3, ntyp = 3
/
ATOMIC_SPECIES
Ru 101.07 Ru.upf
Mn 54.94 Mn.upf
Pu 244.00 Pu.upf
CELL_PARAMETERS angstrom
-2.5885 0.6642 1.0751
-1.2747 -4.2201 -0.4621
1.9092 1.3384 3.7698
ATOMIC_POSITIONS crystal
Ru 0.3899 0.0000 0.0000
Mn 0.9358 0.6667 0.3333
Pu 0.6742 0.3333 0.6667


[2]
! PuMnRu (GGA-PBE, optimized geometry); values from VASP
! - Energy above the most stable polymorph in this dataset: 210 meV/atom
! - SG: No. 107
&SYSTEM
  ibrav = 0, nat = 3, ntyp = 3
/
ATOMIC_SPECIES
Ru 101.07 Ru.upf
Mn 54.94 Mn.upf
Pu 244.00 Pu.upf
CELL_PARAMETERS angstrom
3.6493 0.0000 0.0000
0.0000 3.6493 0.0000
-1.8246 -1.8246 3.8427
ATOMIC_POSITIONS crystal
Ru 0.2619 0.2619 0.5238
Mn 0.6466 0.6466 0.2932
Pu 0.9415 0.9415 0.8830


[3]
! Pu4Mn2Ru (GGA-PBE, optimized geometry); values from VASP
! - SG: No. 122
&SYSTEM
  ibrav = 0, nat = 14, ntyp = 3
/
ATOMIC_SPECIES
Pu 244.00 Pu.upf
Mn 54.94 Mn.upf
Ru 101.07 Ru.upf
CELL_PARAMETERS angstrom
-6.0635 -2.8465 -2.6439
5.2412 -4.9377 0.0852
-1.3641 2.3026 6.6855
ATOMIC_POSITIONS crystal
Pu 0.1257 0.8892 0.3740
Pu 0.6260 0.7518 0.5152
Pu 0.9865 0.6108 0.7348
Pu 0.2652 0.2518 0.8760
Pu 0.6243 0.7482 0.0135
Pu 0.7635 0.2482 0.8743
Pu 0.4848 0.1108 0.2365
Pu 0.1240 0.3892 0.3757
Mn 0.8750 0.1323 0.5073
Mn 0.4927 0.3677 0.6250
Mn 0.3750 0.8677 0.7427
Mn 0.2573 0.6323 0.1250
Ru 0.0000 0.0000 0.0000
Ru 0.7500 0.5000 0.2500


How do the records compare in DFT formation energy? In the order shown, they have 55 88 93 meV per atom.
How do the records compare in total moment? In the order shown, they have 1.49 1.80 31.05 Bohr magnetons per cell.